Record 1
Sr2TaSnH after structural relaxation, computed with PBE.

Properties
Space-group type   P4/mmm
V   39.05 Å³/atom
DFT total energy   -3.58 eV/atom

a b c (Å): 6.0899 5.2646 6.0899
angles (deg): 90.00 90.00 90.00
Element x y z (fractional)
Sr: 0.0000 0.0000 0.5000
Sr: 0.5000 0.0000 0.0000
Sn: 0.0000 0.5000 0.0000
H: 0.5000 0.5000 0.5000
Ta: 0.0000 0.0000 0.0000

Record 2
SrTaSnH2 after structural relaxation, computed with PBE.

Properties
Space-group type   P4/mmm
V   19.94 Å³/atom
DFT total energy   -4.55 eV/atom

a b c (Å): 4.3158 5.3535 4.3158
angles (deg): 90.00 90.00 90.00
Element x y z (fractional)
Sr: 0.5000 0.5000 0.5000
Sn: 0.0000 0.5000 0.0000
H: 0.0000 0.0000 0.5000
H: 0.5000 0.0000 0.0000
Ta: 0.0000 0.0000 0.0000

Record 3
SrTc2SnH after structural relaxation, computed with PBE.

Properties
Space-group type   P4/mmm
V   16.66 Å³/atom
DFT total energy   -5.45 eV/atom

a b c (Å): 4.2679 4.5734 4.2679
angles (deg): 90.00 90.00 90.00
Element x y z (fractional)
Sr: 0.0000 0.5000 0.0000
Sn: 0.5000 0.5000 0.5000
H: 0.0000 0.0000 0.0000
Tc: 0.0000 0.0000 0.5000
Tc: 0.5000 0.0000 0.0000

Record 4
SrTl2SnH after structural relaxation, computed with PBE.

Properties
Space-group type   P4/mmm
V   25.39 Å³/atom
DFT total energy   -2.92 eV/atom

a b c (Å): 5.0659 5.0659 4.9476
angles (deg): 90.00 90.00 90.00
Element x y z (fractional)
Sr: 0.0000 0.0000 0.5000
Tl: 0.0000 0.5000 0.0000
Tl: 0.5000 0.0000 0.0000
Sn: 0.5000 0.5000 0.5000
H: 0.0000 0.0000 0.0000

Record 5
SrY2SnH after structural relaxation, computed with PBE.

Properties
Space-group type   P4/mmm
V   24.38 Å³/atom
DFT total energy   -4.75 eV/atom

a b c (Å): 4.9579 4.9579 4.9591
angles (deg): 90.00 90.00 90.00
Element x y z (fractional)
Y: 0.0000 0.5000 0.0000
Y: 0.5000 0.0000 0.0000
Sr: 0.0000 0.0000 0.5000
Sn: 0.5000 0.5000 0.5000
H: 0.0000 0.0000 0.0000

Record 6
Sr2YSnH after structural relaxation, computed with PBE.

Properties
Space-group type   P4/mmm
V   26.71 Å³/atom
DFT total energy   -3.77 eV/atom

a b c (Å): 5.0622 5.0622 5.2122
angles (deg): 90.00 90.00 90.00
Element x y z (fractional)
Y: 0.0000 0.0000 0.5000
Sr: 0.0000 0.5000 0.0000
Sr: 0.5000 0.0000 0.0000
Sn: 0.5000 0.5000 0.5000
H: 0.0000 0.0000 0.0000

Record 7
Sr2ZnSnH after structural relaxation, computed with PBE.

Properties
Space-group type   P4/mmm
V   24.50 Å³/atom
DFT total energy   -2.77 eV/atom

a b c (Å): 5.2984 5.2984 4.3632
angles (deg): 90.00 90.00 90.00
Element x y z (fractional)
Sr: 0.0000 0.5000 0.0000
Sr: 0.5000 0.0000 0.0000
Zn: 0.0000 0.0000 0.5000
Sn: 0.5000 0.5000 0.5000
H: 0.0000 0.0000 0.0000

Record 8
SrZnSnH after structural relaxation, computed with PBE.

Properties
Space-group type   P3m1
V   20.80 Å³/atom
DFT total energy   -2.93 eV/atom

a b c (Å): 4.7046 4.7048 4.3397
angles (deg): 90.00 90.00 120.00
Element x y z (fractional)
Sr: 0.9053 0.8105 0.8013
Zn: 0.2385 0.4770 0.2541
Sn: 0.5719 0.1437 0.3248
H: 0.2387 0.4775 0.8589

Record 9
Ta3SnH after structural relaxation, computed with PBE.

Properties
Space-group type   Pm-3m
Polymorph energy (0 for the lowest one)   0 meV per atom
V   15.30 Å³/atom

a b c (Å): 4.2453 4.2453 4.2453
angles (deg): 90.00 90.00 90.00
Element x y z (fractional)
H: 0.0000 0.0000 0.0000
Sn: 0.5000 0.5000 0.5000
Ta: 0.0000 0.5000 0.0000
Ta: 0.0000 0.0000 0.5000
Ta: 0.5000 0.0000 0.0000

Record 10
TaSnH2 after structural relaxation, computed with PBE.

Properties
Space-group type   Fm-3m
Polymorph energy (0 for the lowest one)   933 meV per atom
V   12.08 Å³/atom

a b c (Å): 4.0880 4.0880 4.0880
angles (deg): 60.00 60.00 60.00
Element x y z (fractional)
H: 0.2500 0.2500 0.2500
H: 0.7500 0.7500 0.7500
Sn: 0.0000 0.0000 0.0000
Ta: 0.5000 0.5000 0.5000

Record 11
TaSn2H2 after structural relaxation, computed with PBE.

Properties
Space-group type   P4/mbm
Polymorph energy (0 for the lowest one)   22 meV per atom
V   14.40 Å³/atom

a b c (Å): 6.7595 6.7595 3.1525
angles (deg): 90.00 90.00 90.00
Element x y z (fractional)
H: 0.3063 0.8063 0.0000
H: 0.8063 0.6937 0.0000
H: 0.6937 0.1937 0.0000
H: 0.1937 0.3063 0.0000
Sn: 0.1504 0.6504 0.5000
Sn: 0.6504 0.8496 0.5000
Sn: 0.8496 0.3496 0.5000
Sn: 0.3496 0.1504 0.5000
Ta: 0.0000 0.0000 0.0000
Ta: 0.5000 0.5000 0.0000

Record 12
TaSn2H2 after structural relaxation, computed with PBE.

Properties
Space-group type   I4/mmm
Polymorph energy (0 for the lowest one)   0 meV per atom
V   15.94 Å³/atom

a b c (Å): 5.2012 5.2012 4.7127
angles (deg): 56.51 56.51 90.00
Element x y z (fractional)
H: 0.4297 0.4297 0.1406
H: 0.5703 0.5703 0.8594
Sn: 0.7500 0.2500 0.5000
Sn: 0.2500 0.7500 0.5000
Ta: 0.0000 0.0000 0.0000

Record 13
TaSnH2 after structural relaxation, computed with PBE.

Properties
Space-group type   R3m
Polymorph energy (0 for the lowest one)   0 meV per atom
V   12.13 Å³/atom

a b c (Å): 3.2750 3.2750 5.5569
angles (deg): 72.86 72.86 60.00
Element x y z (fractional)
Ta: 0.6903 0.6903 0.9291
Sn: 0.5022 0.5022 0.4933
H: 0.9966 0.9966 0.0102
H: 0.3108 0.3108 0.0675

Record 14
TaSnH after structural relaxation, computed with PBE.

Properties
Space-group type   P-6m2
Polymorph energy (0 for the lowest one)   0 meV per atom
V   14.49 Å³/atom

a b c (Å): 4.1014 3.4978 3.4978
angles (deg): 120.00 90.00 90.00
Element x y z (fractional)
H: 0.1671 0.6667 0.3333
Sn: 0.6664 0.3333 0.6667
Ta: 0.1664 0.0000 0.0000

Record 15
Ta3SnH3 after structural relaxation, computed with PBE.

Properties
Space-group type   Pm-3n
V   11.86 Å³/atom
DFT total energy   -7.12 eV/atom

a b c (Å): 5.4967 5.4967 5.4967
angles (deg): 90.00 90.00 90.00
Element x y z (fractional)
H: 0.2500 0.0000 0.5000
H: 0.0000 0.5000 0.2500
H: 0.5000 0.7500 0.0000
H: 0.7500 0.0000 0.5000
H: 0.0000 0.5000 0.7500
H: 0.5000 0.2500 0.0000
Sn: 0.5000 0.5000 0.5000
Sn: 0.0000 0.0000 0.0000
Ta: 0.0000 0.2500 0.5000
Ta: 0.0000 0.7500 0.5000
Ta: 0.5000 0.0000 0.7500
Ta: 0.7500 0.5000 0.0000
Ta: 0.5000 0.0000 0.2500
Ta: 0.2500 0.5000 0.0000

Record 16
TaSnH after structural relaxation, computed with PBE.

Properties
Space-group type   I4_1/a
Polymorph energy (0 for the lowest one)   28 meV per atom
V   16.94 Å³/atom

a b c (Å): 7.7777 10.9399 10.9399
angles (deg): 82.74 69.18 69.18
Element x y z (fractional)
H: 0.5567 0.4159 0.1523
H: 0.7226 0.6523 0.0841
H: 0.4589 0.3477 0.9159
H: 0.1248 0.5841 0.8477
H: 0.1933 0.0841 0.3477
H: 0.0274 0.8477 0.4159
H: 0.2911 0.1523 0.5841
H: 0.6252 0.9159 0.6523
H: 0.0097 0.3448 0.0400
H: 0.1046 0.5400 0.1552
H: 0.7997 0.4600 0.8448
H: 0.3945 0.6552 0.9600
H: 0.7403 0.1552 0.4600
H: 0.6454 0.9600 0.3448
H: 0.9503 0.0400 0.6552
H: 0.3555 0.8448 0.5400
Sn: 0.9285 0.3258 0.3352
Sn: 0.0043 0.8352 0.1742
Sn: 0.0137 0.1648 0.8258
Sn: 0.5896 0.6742 0.6648
Sn: 0.8215 0.1742 0.1648
Sn: 0.7457 0.6648 0.3258
Sn: 0.7363 0.3352 0.6742
Sn: 0.1604 0.8258 0.8352
Sn: 0.3515 0.6555 0.3668
Sn: 0.7569 0.8668 0.8445
Sn: 0.4683 0.1332 0.1555
Sn: 0.3737 0.3445 0.6332
Sn: 0.3985 0.8445 0.1332
Sn: 0.9931 0.6332 0.6555
Sn: 0.2817 0.3668 0.3445
Sn: 0.3763 0.1555 0.8668
Ta: 0.7717 0.4727 0.1479
Ta: 0.9944 0.6479 0.0273
Ta: 0.6696 0.3521 0.9727
Ta: 0.3924 0.5273 0.8521
Ta: 0.9783 0.0273 0.3521
Ta: 0.7556 0.8521 0.4727
Ta: 0.0804 0.1479 0.5273
Ta: 0.3576 0.9727 0.6479
Ta: 0.3486 0.5705 0.1294
Ta: 0.6691 0.6294 0.9295
Ta: 0.2280 0.3706 0.0705
Ta: 0.0485 0.4295 0.8706
Ta: 0.4014 0.9295 0.3706
Ta: 0.0809 0.8706 0.5705
Ta: 0.5220 0.1294 0.4295
Ta: 0.7015 0.0705 0.6294

Record 17
TaSnH2 after structural relaxation, computed with PBE.

Properties
Space-group type   I-42d
Polymorph energy (0 for the lowest one)   161 meV per atom
V   12.44 Å³/atom

a b c (Å): 5.8820 5.8820 5.0568
angles (deg): 54.44 54.44 90.00
Element x y z (fractional)
H: 0.7220 0.1250 0.2500
H: 0.0280 0.6250 0.2500
H: 0.3750 0.2780 0.7500
H: 0.8750 0.9720 0.7500
Sn: 0.5000 0.5000 0.0000
Sn: 0.2500 0.7500 0.5000
Ta: 0.0000 0.0000 0.0000
Ta: 0.7500 0.2500 0.5000

Record 18
TaSn3H after structural relaxation, computed with PBE.

Properties
Space-group type   Pm-3m
V   19.16 Å³/atom
DFT total energy   -4.86 eV/atom

a b c (Å): 4.5758 4.5758 4.5758
angles (deg): 90.00 90.00 90.00
Element x y z (fractional)
H: 0.0000 0.0000 0.0000
Sn: 0.0000 0.5000 0.0000
Sn: 0.0000 0.0000 0.5000
Sn: 0.5000 0.0000 0.0000
Ta: 0.5000 0.5000 0.5000

Record 19
Ta2TcSnH after structural relaxation, computed with PBE.

Properties
Space-group type   P4/mmm
V   14.55 Å³/atom
DFT total energy   -8.28 eV/atom

a b c (Å): 4.1670 4.1670 4.1889
angles (deg): 90.00 90.00 90.00
Element x y z (fractional)
Tc: 0.0000 0.0000 0.5000
H: 0.0000 0.0000 0.0000
Sn: 0.5000 0.5000 0.5000
Ta: 0.0000 0.5000 0.0000
Ta: 0.5000 0.0000 0.0000

Record 20
Ta2TiSnH after structural relaxation, computed with PBE.

Properties
Space-group type   P4/mmm
V   15.03 Å³/atom
DFT total energy   -7.95 eV/atom

a b c (Å): 4.1249 4.1249 4.4173
angles (deg): 90.00 90.00 90.00
Element x y z (fractional)
H: 0.0000 0.0000 0.0000
Ti: 0.0000 0.0000 0.5000
Sn: 0.5000 0.5000 0.5000
Ta: 0.0000 0.5000 0.0000
Ta: 0.5000 0.0000 0.0000

Record 21
Ta2VSnH after structural relaxation, computed with PBE.

Properties
Space-group type   P4/mmm
V   14.45 Å³/atom
DFT total energy   -8.08 eV/atom

a b c (Å): 4.1668 4.1668 4.1619
angles (deg): 90.00 90.00 90.00
Element x y z (fractional)
H: 0.0000 0.0000 0.0000
V: 0.0000 0.0000 0.5000
Sn: 0.5000 0.5000 0.5000
Ta: 0.0000 0.5000 0.0000
Ta: 0.5000 0.0000 0.0000

Record 22
Zr2TaSnH after structural relaxation, computed with PBE.

Properties
Space-group type   P4/mmm
V   17.09 Å³/atom
DFT total energy   -7.59 eV/atom

a b c (Å): 4.6436 4.6436 3.9636
angles (deg): 90.00 90.00 90.00
Element x y z (fractional)
H: 0.0000 0.0000 0.0000
Sn: 0.5000 0.5000 0.5000
Zr: 0.0000 0.5000 0.0000
Zr: 0.5000 0.0000 0.0000
Ta: 0.0000 0.0000 0.5000

Record 23
TbSnH after structural relaxation, computed with PBE.

Properties
Space-group type   P-1
Polymorph energy (0 for the lowest one)   23 meV per atom
V   20.01 Å³/atom

a b c (Å): 6.3576 3.6285 6.3012
angles (deg): 73.18 118.83 106.60
Element x y z (fractional)
H: 0.4261 0.2884 0.8503
H: 0.5739 0.7116 0.1497
Tb: 0.2350 0.7078 0.8204
Tb: 0.7650 0.2922 0.1796
Sn: 0.7501 0.0189 0.7120
Sn: 0.2499 0.9811 0.2880

Record 24
TbSnH after structural relaxation, computed with PBE.

Properties
Space-group type   I4mm
Polymorph energy (0 for the lowest one)   273 meV per atom
V   19.73 Å³/atom

a b c (Å): 3.2329 3.2329 6.1072
angles (deg): 105.35 105.35 90.00
Element x y z (fractional)
H: 0.2692 0.2692 0.5384
Tb: 0.7245 0.7245 0.4489
Sn: 0.0063 0.0063 0.0127

Record 25
Tb2SnH after structural relaxation, computed with PBE.

Properties
Space-group type   R-3m
Polymorph energy (0 for the lowest one)   259 meV per atom
V   21.64 Å³/atom

a b c (Å): 3.5472 3.5472 8.2043
angles (deg): 77.52 77.52 60.00
Element x y z (fractional)
H: 0.5000 0.5000 0.5000
Tb: 0.2253 0.2253 0.3240
Tb: 0.7747 0.7747 0.6760
Sn: 0.0000 0.0000 0.0000

Record 26
Tb2SnH2 after structural relaxation, computed with PBE.

Properties
Space-group type   I4/mmm
V   17.27 Å³/atom
DFT total energy   -4.72 eV/atom

a b c (Å): 3.9934 3.9934 6.1072
angles (deg): 109.08 109.08 90.00
Element x y z (fractional)
Tb: 0.6538 0.6538 0.3076
Tb: 0.3462 0.3462 0.6924
Sn: 0.0000 0.0000 0.0000
H: 0.7500 0.2500 0.5000
H: 0.2500 0.7500 0.5000

Number 1: total magnetization 0.01 μB/cell. Number 2: total magnetization 0.57 μB/cell. Number 3: total magnetization 1.86 μB/cell. Number 4: total magnetization 0.00 μB/cell. Number 5: total magnetization 0.00 μB/cell. Number 6: total magnetization 1.35 μB/cell. Number 7: total magnetization 0.00 μB/cell. Number 8: total magnetization 0.00 μB/cell. Number 9: total magnetization 0.00 μB/cell. Number 10: total magnetization 0.00 μB/cell. Number 11: total magnetization 0.00 μB/cell. Number 12: total magnetization 0.00 μB/cell. Number 13: total magnetization 0.00 μB/cell. Number 14: total magnetization 0.00 μB/cell. Number 15: total magnetization 0.00 μB/cell. Number 16: total magnetization 0.00 μB/cell. Number 17: total magnetization 0.00 μB/cell. Number 18: total magnetization 0.00 μB/cell. Number 19: total magnetization 0.00 μB/cell. Number 20: total magnetization 0.00 μB/cell. Number 21: total magnetization 0.00 μB/cell. Number 22: total magnetization 0.00 μB/cell. Number 23: total magnetization 0.00 μB/cell. Number 24: total magnetization 0.05 μB/cell. Number 25: total magnetization 0.00 μB/cell. Number 26: total magnetization 0.00 μB/cell.